Entry from the Alexandria database: a relaxed Hf2BPb crystal (GGA-PBE).

DFT formation energy = 15.126 kcal/mol of atoms
Total moment = 0.00 μB/f.u.
Density = 12543 kg/m³

Unit cell a=4.757 b=4.757 c=4.757 alpha=60.00 beta=60.00 gamma=60.00
Atoms (fractional coordinates):
1 Hf 0.250 0.250 0.250
2 Hf 0.750 0.750 0.750
3 B 0.000 0.000 0.000
4 Pb 0.500 0.500 0.500